Entry 1:
5
Lattice="4.384 0.000 0.000 0.000 4.384 0.000 0.000 0.000 5.790" Properties=species:S:1:pos:R:3 comment="PBE-GGA Be2GeSbN, optimized geometry" sg="P4/mmm, No. 123" dos_at_fermi_per_ev_fu=2.629 e_form_raw_ev_per_atom=1.9505 pbc="T T T"
Be 0.000 2.192 0.000
Be 2.192 0.000 0.000
Ge 0.000 0.000 2.895
Sb 0.000 0.000 0.000
N 2.192 2.192 2.895

Entry 2:
8
Lattice="3.238 0.000 0.000 0.000 4.461 0.000 0.000 0.000 9.188" Properties=species:S:1:pos:R:3 comment="PBE-GGA SbOsW2, optimized geometry" sg="Immm, No. 71" dos_at_fermi_per_ev_fu=2.209 e_form_raw_ev_per_atom=0.5013 pbc="T T T"
Sb 0.000 0.000 0.000
Sb 1.619 2.230 4.594
Os 0.000 0.000 4.594
Os 1.619 2.230 0.000
W 0.000 2.230 2.355
W 0.000 2.230 6.833
W 1.619 0.000 2.239
W 1.619 0.000 6.949

Entry 3:
8
Lattice="4.526 0.000 0.000 0.000 4.526 0.000 0.000 0.000 11.202" Properties=species:S:1:pos:R:3 comment="PBE-GGA LaIn2Sb, optimized geometry" sg="I4/mmm, No. 139" dos_at_fermi_per_ev_fu=2.380 e_form_raw_ev_per_atom=-0.5292 pbc="T T T"
La 0.000 0.000 0.000
La 2.263 2.263 5.601
In 0.000 2.263 2.800
In 0.000 2.263 8.401
In 2.263 0.000 2.800
In 2.263 0.000 8.401
Sb 0.000 0.000 5.601
Sb 2.263 2.263 0.000

Entry 4:
8
Lattice="4.739 0.000 0.000 0.000 4.739 0.000 0.000 0.000 9.653" Properties=species:S:1:pos:R:3 comment="PBE-GGA Ca2AlCd, optimized geometry" sg="I-4m2, No. 119" dos_at_fermi_per_ev_fu=3.384 formation_enthalpy_0k_ev_per_atom=-0.11 pbc="T T T"
Ca 0.000 0.000 0.000
Ca 0.000 2.370 2.413
Ca 2.370 0.000 7.239
Ca 2.370 2.370 4.826
Al 0.000 0.000 4.826
Al 2.370 2.370 0.000
Cd 0.000 2.370 7.239
Cd 2.370 0.000 2.413

Entry 5:
5
Lattice="5.755 0.000 0.000 0.000 5.755 0.000 0.000 0.000 5.755" Properties=species:S:1:pos:R:3 comment="PBE-GGA Ca3HfBe, optimized geometry" sg="Pm-3m, No. 221" dos_at_fermi_per_ev_fu=8.177 formation_enthalpy_0k_ev_per_atom=1.45 pbc="T T T"
Ca 0.000 0.000 2.877
Ca 0.000 2.877 0.000
Ca 2.877 0.000 0.000
Hf 0.000 0.000 0.000
Be 2.877 2.877 2.877

Entry 6:
8
Lattice="5.115 0.000 0.000 0.000 9.363 0.000 0.000 0.000 4.106" Properties=species:S:1:pos:R:3 comment="PBE-GGA YAs2Cl, optimized geometry" sg="Cmmm, No. 65" dos_at_fermi_per_ev_fu=2.751 e_form_raw_ev_per_atom=-0.6038 pbc="T T T"
Y 0.000 0.000 0.000
Y 2.557 4.682 0.000
As 1.279 2.341 2.053
As 1.279 7.022 2.053
As 3.836 2.341 2.053
As 3.836 7.022 2.053
Cl 0.000 4.682 0.000
Cl 2.557 0.000 0.000

Entry 7:
6
Lattice="4.059 0.000 0.000 0.000 4.059 0.000 0.000 0.000 10.045" Properties=species:S:1:pos:R:3 comment="PBE-GGA SmPaIn, optimized geometry" sg="I4mm, No. 107" dos_at_fermi_per_ev_fu=5.752 formation_enthalpy_0k_ev_per_atom=0.13 pbc="T T T"
Sm 0.000 0.000 0.000
Sm 2.029 2.029 5.022
Pa 0.000 0.000 6.863
Pa 2.029 2.029 1.841
In 0.000 0.000 3.444
In 2.029 2.029 8.467

Entry 8:
5
Lattice="6.223 0.000 0.000 0.000 6.223 0.000 0.000 0.000 6.738" Properties=species:S:1:pos:R:3 comment="PBE-GGA LaCdAsI2, optimized geometry" sg="P4/mmm, No. 123" dos_at_fermi_per_ev_fu=3.707 e_form_raw_ev_per_atom=-0.0377 pbc="T T T"
La 0.000 0.000 0.000
Cd 0.000 0.000 3.369
As 3.112 3.112 3.369
I 0.000 3.112 0.000
I 3.112 0.000 0.000

Entry 9:
10
Lattice="2.658 -6.674 0.000 2.658 6.674 0.000 0.000 0.000 4.976" Properties=species:S:1:pos:R:3 comment="PBE-GGA InHRh3, optimized geometry" sg="Cmcm, No. 63" dos_at_fermi_per_ev_fu=5.033 final_energy_ev_per_cell=-52.89 pbc="T T T"
In 2.658 4.254 3.732
In 2.658 -4.254 1.244
H 2.658 0.740 3.732
H 2.658 -0.740 1.244
Rh 0.000 0.000 0.000
Rh 0.000 0.000 2.488
Rh 1.355 1.866 3.732
Rh 1.355 -1.866 1.244
Rh 3.962 1.866 3.732
Rh 3.962 -1.866 1.244

Entry 10:
16
Lattice="5.874 0.000 0.000 0.000 10.527 0.000 0.000 0.000 6.243" Properties=species:S:1:pos:R:3 comment="PBE-GGA NiSe2Br, optimized geometry" sg="Pna2_1, No. 33" dos_at_fermi_per_ev_fu=2.144 e_form_raw_ev_per_atom=-0.1559 pbc="T T T"
Ni 0.569 1.196 0.000
Ni 2.368 6.460 3.122
Ni 3.506 4.067 0.000
Ni 5.305 9.331 3.122
Se 0.234 5.565 3.029
Se 1.355 3.245 5.599
Se 1.582 8.509 2.478
Se 2.703 0.301 6.151
Se 3.171 10.226 3.029
Se 4.292 2.018 5.599
Se 4.519 7.282 2.478
Se 5.640 4.962 6.151
Br 0.085 1.068 2.475
Br 2.852 6.332 5.597
Br 3.022 4.195 2.475
Br 5.789 9.459 5.597

Entry 11:
16
Lattice="6.575 -3.812 0.000 6.575 3.812 0.000 -4.259 0.000 6.268" Properties=species:S:1:pos:R:3 comment="PBE-GGA Li4Y3MnS8, optimized geometry" sg="C2/m, No. 12" e_form_raw_ev_per_atom=-1.5705 pbc="T T T"
Li 0.000 0.000 0.000
Li 1.158 1.906 3.134
Li 1.158 -1.906 3.134
Li 6.575 0.000 0.000
Y -2.129 0.000 3.134
Y 3.287 1.906 0.000
Y 3.287 -1.906 0.000
Mn 4.445 0.000 3.134
S 2.055 0.000 1.481
S 0.107 0.000 4.671
S 3.449 1.689 4.555
S 5.441 1.689 1.713
S 3.449 -1.689 4.555
S 5.441 -1.689 1.713
S 8.784 0.000 1.598
S 6.836 0.000 4.787

Entry 12:
10
Lattice="-4.181 4.181 5.910 4.181 -4.181 5.910 4.181 4.181 -5.910" Properties=species:S:1:pos:R:3 comment="PBE-GGA Cs2CrCdI6, optimized geometry" sg="I4/mmm, No. 139" dos_at_fermi_per_ev_fu=1.613 e_form_raw_ev_per_atom=-0.8523 pbc="T T T"
Cs 4.181 0.000 2.955
Cs 0.000 4.181 2.955
Cr 0.000 0.000 0.000
Cd 0.000 0.000 5.910
I 2.015 2.015 0.000
I 2.166 -2.166 5.910
I 0.000 0.000 2.862
I 0.000 0.000 8.957
I -2.166 2.166 5.910
I 2.166 2.166 5.910

Entry 13:
12
Lattice="4.309 0.000 0.000 -2.154 3.731 0.000 0.000 0.000 24.876" Properties=species:S:1:pos:R:3 comment="PBE-GGA Ac2CdNi, optimized geometry" sg="R3m, No. 160" dos_at_fermi_per_ev_fu=3.475 formation_enthalpy_0k_ev_per_atom=-0.19 pbc="T T T"
Ac 0.000 0.000 0.000
Ac 0.000 0.000 5.054
Ac 0.000 2.488 16.584
Ac 0.000 2.488 21.639
Ac 2.154 1.244 8.292
Ac 2.154 1.244 13.346
Cd 0.000 0.000 10.807
Cd 0.000 2.488 2.515
Cd 2.154 1.244 19.099
Ni 0.000 0.000 14.949
Ni 0.000 2.488 6.657
Ni 2.154 1.244 23.241

Entry 14:
5
Lattice="4.044 0.000 0.000 0.000 4.044 0.000 0.000 0.000 5.549" Properties=species:S:1:pos:R:3 comment="PBE-GGA NbSeIN2, optimized geometry" sg="P4/mmm, No. 123" dos_at_fermi_per_ev_fu=5.161 e_form_raw_ev_per_atom=1.9047 pbc="T T T"
Nb 0.000 0.000 0.000
Se 2.022 2.022 0.000
I 2.022 2.022 2.774
N 0.000 2.022 2.774
N 2.022 0.000 2.774

Entry 15:
10
Lattice="4.011 0.000 0.000 0.000 4.011 0.000 0.000 0.000 10.919" Properties=species:S:1:pos:R:3 comment="PBE-GGA TmNbSi2Ru, optimized geometry" sg="I-4m2, No. 119" dos_at_fermi_per_ev_fu=3.247 e_form_raw_ev_per_atom=-0.6623 pbc="T T T"
Tm 0.000 0.000 0.000
Tm 2.005 2.005 5.460
Nb 0.000 2.005 2.730
Nb 2.005 0.000 8.190
Si 0.000 0.000 4.278
Si 0.000 0.000 6.641
Si 2.005 2.005 1.181
Si 2.005 2.005 9.738
Ru 0.000 2.005 8.190
Ru 2.005 0.000 2.730

Entry 16:
16
Lattice="7.938 0.000 0.000 0.000 9.056 0.000 -2.604 0.000 7.506" Properties=species:S:1:pos:R:3 comment="PBE-GGA La3PrTe4, optimized geometry" sg="P2/c, No. 13" dos_at_fermi_per_ev_fu=5.056 e_form_raw_ev_per_atom=-1.5614 pbc="T T T"
La -0.651 1.129 1.876
La -1.953 3.385 5.629
La -0.651 5.671 1.876
La -1.953 7.927 5.629
La 3.318 3.386 1.876
La 2.016 5.670 5.629
Pr 2.016 1.131 5.629
Pr 3.318 7.925 1.876
Te 1.996 1.122 0.001
Te 0.686 3.394 3.759
Te 1.988 5.663 0.006
Te 0.694 7.935 3.754
Te 4.640 1.122 3.752
Te 3.345 3.394 7.500
Te 4.647 5.663 3.747
Te 3.338 7.935 7.505

Entry 17:
10
Lattice="3.442 1.987 5.383 -3.442 1.987 5.383 0.000 -3.974 5.383" Properties=species:S:1:pos:R:3 comment="PBE-GGA CoNi2Te6Pd, optimized geometry" sg="R3, No. 146" dos_at_fermi_per_ev_fu=6.298 e_form_raw_ev_per_atom=-0.1979 pbc="T T T"
Co 0.000 0.000 0.000
Ni 0.000 0.000 2.909
Ni 0.000 0.000 10.893
Te -2.448 0.058 6.782
Te -1.150 -1.993 9.555
Te 1.174 -2.150 6.782
Te -1.151 1.993 9.555
Te 1.275 2.091 6.782
Te 2.301 0.000 9.555
Pd 0.000 0.000 7.986

Entry 18:
14
Lattice="4.273 0.000 0.000 0.000 5.699 0.000 0.000 0.000 18.228" Properties=species:S:1:pos:R:3 comment="PBE-GGA Cs2SbCl3O, optimized geometry" sg="Immm, No. 71" dos_at_fermi_per_ev_fu=0.417 e_form_raw_ev_per_atom=-1.4666 pbc="T T T"
Cs 0.000 0.000 2.686
Cs 0.000 0.000 15.541
Cs 2.137 2.849 6.428
Cs 2.137 2.849 11.800
Sb 0.000 0.000 9.114
Sb 2.137 2.849 0.000
Cl 0.000 0.000 6.250
Cl 0.000 0.000 11.978
Cl 0.000 2.849 9.114
Cl 2.137 0.000 0.000
Cl 2.137 2.849 2.864
Cl 2.137 2.849 15.363
O 0.000 2.849 0.000
O 2.137 0.000 9.114

Entry 19:
19
Lattice="5.529 3.192 5.896 -5.529 3.192 5.896 0.000 -6.384 5.896" Properties=species:S:1:pos:R:3 comment="PBE-GGA Y15Tm2Sc2, optimized geometry" sg="R-3m, No. 166" dos_at_fermi_per_ev_fu=35.321 formation_enthalpy_0k_ev_per_atom=0.31 pbc="T T T"
Y -5.529 0.000 8.843
Y -1.633 -3.555 5.896
Y -2.764 1.596 2.948
Y -3.895 0.363 5.896
Y -2.668 -1.541 8.286
Y 1.633 -3.555 5.896
Y -2.262 3.192 5.896
Y 0.000 -3.081 9.401
Y -2.668 1.541 9.401
Y 2.764 1.596 2.948
Y 2.668 -1.541 8.286
Y 0.000 3.081 8.286
Y 3.895 0.363 5.896
Y 2.262 3.192 5.896
Y 2.668 1.541 9.401
Tm 0.000 0.000 5.601
Tm 0.000 0.000 12.086
Sc 0.000 0.000 1.584
Sc 0.000 0.000 16.103

Entry 20:
11
Lattice="3.434 1.982 5.961 -3.434 1.982 5.961 0.000 -3.965 5.961" Properties=species:S:1:pos:R:3 comment="PBE-GGA Sr2VCu2S6, optimized geometry" sg="R-3m, No. 166" dos_at_fermi_per_ev_fu=9.358 e_form_raw_ev_per_atom=-0.8613 pbc="T T T"
Sr 0.000 0.000 3.989
Sr 0.000 0.000 13.893
V 0.000 0.000 0.000
Cu 0.000 0.000 7.339
Cu 0.000 0.000 10.543
S -1.866 -1.077 10.416
S 0.000 -2.155 7.466
S -1.866 1.077 7.466
S 1.866 -1.077 10.416
S 0.000 2.155 10.416
S 1.866 1.077 7.466

Entry 21:
16
Lattice="7.125 0.000 0.000 0.000 13.952 0.000 0.000 0.000 4.634" Properties=species:S:1:pos:R:3 comment="PBE-GGA Na5MgIn2, optimized geometry" sg="Pbam, No. 55" dos_at_fermi_per_ev_fu=3.225 formation_enthalpy_0k_ev_per_atom=-0.04 pbc="T T T"
Na 0.000 0.000 0.000
Na 0.346 3.479 0.000
Na 1.581 12.175 2.317
Na 1.981 5.199 2.317
Na 3.217 10.456 0.000
Na 3.562 6.976 0.000
Na 3.908 3.497 0.000
Na 5.143 8.753 2.317
Na 5.544 1.777 2.317
Na 6.779 10.473 0.000
Mg 0.000 6.976 0.000
Mg 3.562 0.000 0.000
In 1.408 8.508 2.317
In 2.154 1.532 2.317
In 4.970 12.421 2.317
In 5.717 5.445 2.317

Entry 22:
8
Lattice="0.000 5.015 8.700 3.312 0.000 8.700 3.312 5.015 0.000" Properties=species:S:1:pos:R:3 comment="PBE-GGA KHf, optimized geometry" sg="Fddd, No. 70" dos_at_fermi_per_ev_fu=3.238 formation_enthalpy_0k_ev_per_atom=1.41 pbc="T T T"
K 2.484 0.326 6.525
K 4.141 2.833 10.875
K 2.484 7.197 6.525
K 4.141 9.705 10.875
Hf 2.484 3.761 5.165
Hf 2.484 3.761 7.885
Hf 4.141 6.269 9.516
Hf 4.141 6.269 12.235

Entry 23:
4
Lattice="3.061 0.000 0.000 0.000 4.416 0.000 0.000 0.000 5.239" Properties=species:S:1:pos:R:3 comment="PBE-GGA MnSi2Br, optimized geometry" sg="Pmmm, No. 47" dos_at_fermi_per_ev_fu=2.000 e_form_raw_ev_per_atom=0.5790 pbc="T T T"
Mn 0.000 0.000 0.000
Si 0.000 2.208 2.620
Si 1.530 0.000 2.620
Br 1.530 2.208 0.000